Entry 1:
Here is CaNi2GeH after structural relaxation from the Alexandria database. Energies are from PBE-GGA.

Output
DOS(E_F): 4.0 states/eV per cell
Energy: -4.796 eV per atom

Cell lengths 3.663, 5.557, 7.008 Å; angles 90.00, 90.00, 109.24 degrees
Positions (direct):
H1 0.000 0.000 0.500
Ca1 0.549 0.098 0.250
H2 0.000 0.000 0.000
Ni1 0.163 0.325 0.557
Ca2 0.451 0.902 0.750
Ge1 0.271 0.542 0.250
Ni2 0.163 0.325 0.943
Ge2 0.729 0.458 0.750
Ni3 0.837 0.675 0.443
Ni4 0.837 0.675 0.057

Entry 2:
Here is Sb4C after structural relaxation from the Alexandria database. Energies are from PBE-GGA.

Output
DOS(E_F): 2.2 states/eV per cell
Energy: -4.212 eV per atom
Relative energy among the computed polymorphs: 14.6 kJ/mol of formula units
Raw formation energy: 0.930 eV/atom

Cell lengths 6.367, 6.367, 6.367 Å; angles 93.73, 93.73, 150.44 degrees
Positions (direct):
Sb1 0.731 0.434 0.166
Sb2 0.566 0.731 0.297
Sb3 0.434 0.269 0.703
C1 0.000 0.000 0.000
Sb4 0.269 0.566 0.834

Entry 3:
Here is SrZn2Sb after structural relaxation from the Alexandria database. Energies are from PBE-GGA.

Output
DOS(E_F): 1.0 states/eV per cell
Energy: -2.325 eV per atom
Raw formation energy: -0.237 eV/atom

Cell lengths 5.610, 5.610, 5.610 Å; angles 130.20, 130.20, 73.09 degrees
Positions (direct):
Zn1 0.500 0.500 0.000
Zn2 0.000 0.000 0.000
Sr1 0.750 0.250 0.500
Sb1 0.250 0.750 0.500

Entry 4:
Here is YMnSb2 after structural relaxation from the Alexandria database. Energies are from PBE-GGA.

Output
DOS(E_F): 2.7 states/eV per cell
Energy: -6.279 eV per atom
Raw formation energy: -0.310 eV/atom

Cell lengths 6.023, 6.023, 6.023 Å; angles 139.60, 136.88, 60.56 degrees
Positions (direct):
Mn1 0.235 0.735 0.500
Sb1 0.014 0.014 0.000
Sb2 0.756 0.256 0.500
Y1 0.495 0.495 0.000

Entry 5:
Here is PC after structural relaxation from the Alexandria database. Energies are from PBE-GGA.

Output
DOS(E_F): 2.3 states/eV per cell
Energy: -6.562 eV per atom
Calculated formation energy: 0.755 eV/atom
Relative energy among the computed polymorphs: 85.4 kJ/mol of formula units

Cell lengths 6.706, 6.706, 6.706 Å; angles 25.21, 25.21, 25.21 degrees
Positions (direct):
P1 0.477 0.477 0.477
P2 0.273 0.273 0.273
C1 0.969 0.969 0.969
C2 0.781 0.781 0.781

Entry 6:
Here is VCd2I after structural relaxation from the Alexandria database. Energies are from PBE-GGA.

Output
DOS(E_F): 3.5 states/eV per cell
Energy: -2.375 eV per atom
Relative energy among the computed polymorphs: 121.9 kJ/mol of formula units
Raw formation energy: 0.750 eV/atom

Cell lengths 5.312, 5.312, 5.312 Å; angles 60.00, 60.00, 60.00 degrees
Positions (direct):
V1 0.000 0.000 0.000
Cd1 0.250 0.250 0.250
I1 0.500 0.500 0.500
Cd2 0.750 0.750 0.750